CsPa3Te6 PBE optimized geometry; formation energy without anion corrections = -19.3 kcal/mol of atoms
1.0
13.685 0.000 0.000
0.000 4.359 0.000
-4.128 0.000 13.102
Cs Pa Te
2 6 12
Direct
0.109 0.250 0.378
0.891 0.750 0.622
0.154 0.250 0.040
0.294 0.750 0.735
0.472 0.750 0.371
0.528 0.250 0.629
0.706 0.250 0.265
0.846 0.750 0.960
0.049 0.750 0.135
0.135 0.250 0.658
0.258 0.750 0.949
0.321 0.250 0.252
0.358 0.750 0.536
0.453 0.250 0.820
0.547 0.750 0.180
0.642 0.250 0.464
0.679 0.750 0.748
0.742 0.250 0.051
0.865 0.750 0.342
0.951 0.250 0.865